# TmThCo2 | Alexandria via LeMat-Bulk | GGA-PBE | optimized geometry
data_TmThCo2
_space_group_name_H-M_alt 'P 1'
_space_group_IT_number 1
_space_group_name_Hall 'P 1'
_cell_length_a 3.957
_cell_length_b 5.584
_cell_length_c 7.116
_cell_angle_alpha 90.00
_cell_angle_beta 90.00
_cell_angle_gamma 90.00
loop_
_atom_site_label
_atom_site_fract_x
_atom_site_fract_y
_atom_site_fract_z
Tm1 0.000 0.112 0.000
Tm2 0.000 0.888 0.500
Th1 0.500 0.387 0.642
Th2 0.500 0.613 0.142
Co1 0.000 0.383 0.365
Co2 0.000 0.617 0.865
Co3 0.500 0.119 0.282
Co4 0.500 0.881 0.782
# D(E_F)   6.3 states/eV per cell
# DFT formation energy   -0.277 eV/atom
# Symmetry   Pmc2_1 (26)
# Energy above the lowest structure with this stoichiometry   14 meV per atom
# DFT total energy   -6.803 eV/atom
# Magnetic moment   0.00 μB per atom



# BeHS | Alexandria via LeMat-Bulk | GGA-PBE | optimized geometry
data_BeHS
_space_group_name_H-M_alt 'P 1'
_space_group_IT_number 1
_space_group_name_Hall 'P 1'
_cell_length_a 6.910
_cell_length_b 4.214
_cell_length_c 6.468
_cell_angle_alpha 90.00
_cell_angle_beta 114.92
_cell_angle_gamma 90.00
loop_
_atom_site_label
_atom_site_fract_x
_atom_site_fract_y
_atom_site_fract_z
Be1 0.056 0.130 0.352
Be2 0.056 0.370 0.852
Be3 0.944 0.630 0.148
Be4 0.944 0.870 0.648
H1 0.140 0.633 0.731
H2 0.140 0.867 0.231
H3 0.860 0.133 0.769
H4 0.860 0.367 0.269
S1 0.228 0.123 0.704
S2 0.228 0.377 0.204
S3 0.772 0.623 0.796
S4 0.772 0.877 0.296
# D(E_F)   2.6 states/eV per cell
# Symmetry   P2_1/c (14)
# Energy above the lowest structure with this stoichiometry   534 meV per atom
# DFT total energy   -3.831 eV/atom
# Magnetic moment   0.00 μB per atom



# Zr2HgAs | Alexandria via LeMat-Bulk | GGA-PBE | optimized geometry
data_Zr2HgAs
_space_group_name_H-M_alt 'P 1'
_space_group_IT_number 1
_space_group_name_Hall 'P 1'
_cell_length_a 3.740
_cell_length_b 3.740
_cell_length_c 22.081
_cell_angle_alpha 90.00
_cell_angle_beta 90.00
_cell_angle_gamma 120.00
loop_
_atom_site_label
_atom_site_fract_x
_atom_site_fract_y
_atom_site_fract_z
Zr1 0.000 0.000 0.237
Zr2 0.000 0.000 0.763
Zr3 0.333 0.667 0.429
Zr4 0.333 0.667 0.904
Zr5 0.667 0.333 0.096
Zr6 0.667 0.333 0.571
Hg1 0.000 0.000 0.000
Hg2 0.333 0.667 0.667
Hg3 0.667 0.333 0.333
As1 0.000 0.000 0.500
As2 0.333 0.667 0.167
As3 0.667 0.333 0.833
# D(E_F)   8.2 states/eV per cell
# DFT formation energy   -0.603 eV/atom
# Symmetry   R-3m (166)
# Energy above the lowest structure with this stoichiometry   0 meV per atom
# DFT total energy   -6.115 eV/atom
# Magnetic moment   0.00 μB per atom



# Ca3ZrFe | Alexandria via LeMat-Bulk | GGA-PBE | optimized geometry
data_Ca3ZrFe
_space_group_name_H-M_alt 'P 1'
_space_group_IT_number 1
_space_group_name_Hall 'P 1'
_cell_length_a 5.294
_cell_length_b 5.294
_cell_length_c 5.294
_cell_angle_alpha 90.00
_cell_angle_beta 90.00
_cell_angle_gamma 90.00
loop_
_atom_site_label
_atom_site_fract_x
_atom_site_fract_y
_atom_site_fract_z
Ca1 0.000 0.000 0.500
Ca2 0.000 0.500 0.000
Ca3 0.500 0.000 0.000
Zr1 0.500 0.500 0.500
Fe1 0.000 0.000 0.000
# D(E_F)   12.0 states/eV per cell
# DFT formation energy   0.879 eV/atom
# Symmetry   Pm-3m (221)
# Energy above the lowest structure with this stoichiometry   0 meV per atom
# DFT total energy   -3.724 eV/atom
# Magnetic moment   0.00 μB per atom



# KSr2Be | Alexandria via LeMat-Bulk | GGA-PBE | optimized geometry
data_KSr2Be
_space_group_name_H-M_alt 'P 1'
_space_group_IT_number 1
_space_group_name_Hall 'P 1'
_cell_length_a 10.010
_cell_length_b 10.010
_cell_length_c 7.555
_cell_angle_alpha 90.00
_cell_angle_beta 90.00
_cell_angle_gamma 90.00
loop_
_atom_site_label
_atom_site_fract_x
_atom_site_fract_y
_atom_site_fract_z
K1 0.000 0.000 0.000
K2 0.000 0.500 0.250
K3 0.500 0.000 0.750
K4 0.500 0.500 0.500
Sr1 0.147 0.250 0.625
Sr2 0.250 0.647 0.875
Sr3 0.250 0.853 0.375
Sr4 0.353 0.250 0.125
Sr5 0.647 0.750 0.125
Sr6 0.750 0.147 0.375
Sr7 0.750 0.353 0.875
Sr8 0.853 0.750 0.625
Be1 0.000 0.000 0.500
Be2 0.000 0.500 0.750
Be3 0.500 0.000 0.250
Be4 0.500 0.500 0.000
# D(E_F)   29.7 states/eV per cell
# DFT formation energy   0.542 eV/atom
# Symmetry   I-42d (122)
# DFT total energy   -1.505 eV/atom
# Magnetic moment   0.00 μB per atom



# Tm5Ag2Pd12 | Alexandria via LeMat-Bulk | GGA-PBE | optimized geometry
data_Tm5Ag2Pd12
_space_group_name_H-M_alt 'P 1'
_space_group_IT_number 1
_space_group_name_Hall 'P 1'
_cell_length_a 8.683
_cell_length_b 8.683
_cell_length_c 9.402
_cell_angle_alpha 113.19
_cell_angle_beta 113.19
_cell_angle_gamma 37.23
loop_
_atom_site_label
_atom_site_fract_x
_atom_site_fract_y
_atom_site_fract_z
Tm1 0.000 0.000 0.000
Tm2 0.316 0.316 0.127
Tm3 0.348 0.348 0.628
Tm4 0.652 0.652 0.372
Tm5 0.684 0.684 0.873
Ag1 0.250 0.750 0.500
Ag2 0.750 0.250 0.500
Pd1 0.050 0.574 0.372
Pd2 0.093 0.593 0.892
Pd3 0.108 0.108 0.811
Pd4 0.407 0.907 0.108
Pd5 0.426 0.950 0.628
Pd6 0.488 0.488 0.136
Pd7 0.512 0.512 0.864
Pd8 0.574 0.050 0.372
Pd9 0.593 0.093 0.892
Pd10 0.892 0.892 0.189
Pd11 0.907 0.407 0.108
Pd12 0.950 0.426 0.628
# D(E_F)   6.6 states/eV per cell
# DFT formation energy   -0.502 eV/atom
# Symmetry   C2/m (12)
# DFT total energy   -5.258 eV/atom
# Magnetic moment   0.00 μB per atom



# CaSc2Al2 | Alexandria via LeMat-Bulk | GGA-PBE | optimized geometry
data_CaSc2Al2
_space_group_name_H-M_alt 'P 1'
_space_group_IT_number 1
_space_group_name_Hall 'P 1'
_cell_length_a 4.444
_cell_length_b 4.444
_cell_length_c 13.008
_cell_angle_alpha 90.00
_cell_angle_beta 90.00
_cell_angle_gamma 90.00
loop_
_atom_site_label
_atom_site_fract_x
_atom_site_fract_y
_atom_site_fract_z
Ca1 0.000 0.000 0.000
Ca2 0.500 0.500 0.500
Sc1 0.000 0.000 0.382
Sc2 0.000 0.000 0.618
Sc3 0.500 0.500 0.118
Sc4 0.500 0.500 0.882
Al1 0.000 0.500 0.250
Al2 0.000 0.500 0.750
Al3 0.500 0.000 0.250
Al4 0.500 0.000 0.750
# D(E_F)   10.3 states/eV per cell
# DFT formation energy   0.121 eV/atom
# Symmetry   I4/mmm (139)
# Energy above the lowest structure with this stoichiometry   374 meV per atom
# DFT total energy   -4.309 eV/atom
# Magnetic moment   0.15 μB per atom



# MgP2CI | Alexandria via LeMat-Bulk | GGA-PBE | optimized geometry
data_MgP2CI
_space_group_name_H-M_alt 'P 1'
_space_group_IT_number 1
_space_group_name_Hall 'P 1'
_cell_length_a 5.055
_cell_length_b 5.055
_cell_length_c 4.100
_cell_angle_alpha 90.00
_cell_angle_beta 90.00
_cell_angle_gamma 90.00
loop_
_atom_site_label
_atom_site_fract_x
_atom_site_fract_y
_atom_site_fract_z
Mg1 0.000 0.000 0.000
P1 0.000 0.500 0.000
P2 0.500 0.000 0.000
C1 0.000 0.000 0.500
I1 0.500 0.500 0.500
# D(E_F)   4.4 states/eV per cell
# Symmetry   P4/mmm (123)
# Formation energy from raw total energies   1.6494 eV per atom
# DFT total energy   -2.988 eV/atom
# Magnetic moment   0.07 μB per atom



# HfMnGaRu2 | Alexandria via LeMat-Bulk | GGA-PBE | optimized geometry
data_HfMnGaRu2
_space_group_name_H-M_alt 'P 1'
_space_group_IT_number 1
_space_group_name_Hall 'P 1'
_cell_length_a 4.451
_cell_length_b 4.451
_cell_length_c 4.368
_cell_angle_alpha 90.00
_cell_angle_beta 90.00
_cell_angle_gamma 90.00
loop_
_atom_site_label
_atom_site_fract_x
_atom_site_fract_y
_atom_site_fract_z
Hf1 0.000 0.000 0.000
Mn1 0.500 0.500 0.500
Ga1 0.500 0.500 0.000
Ru1 0.000 0.500 0.500
Ru2 0.500 0.000 0.500
# D(E_F)   4.0 states/eV per cell
# DFT formation energy   0.547 eV/atom
# Symmetry   P4/mmm (123)
# DFT total energy   -7.594 eV/atom
# Magnetic moment   0.00 μB per atom



# RbPaAgBr6 | Alexandria via LeMat-Bulk | GGA-PBE | optimized geometry
data_RbPaAgBr6
_space_group_name_H-M_alt 'P 1'
_space_group_IT_number 1
_space_group_name_Hall 'P 1'
_cell_length_a 7.365
_cell_length_b 7.365
_cell_length_c 15.644
_cell_angle_alpha 90.00
_cell_angle_beta 90.00
_cell_angle_gamma 120.00
loop_
_atom_site_label
_atom_site_fract_x
_atom_site_fract_y
_atom_site_fract_z
Rb1 0.000 0.000 0.000
Rb2 0.000 0.000 0.500
Pa1 0.333 0.667 0.250
Pa2 0.667 0.333 0.750
Ag1 0.333 0.667 0.750
Ag2 0.667 0.333 0.250
Br1 0.011 0.369 0.144
Br2 0.011 0.642 0.356
Br3 0.358 0.369 0.356
Br4 0.358 0.989 0.144
Br5 0.369 0.011 0.644
Br6 0.369 0.358 0.856
Br7 0.631 0.642 0.144
Br8 0.631 0.989 0.356
Br9 0.642 0.011 0.856
Br10 0.642 0.631 0.644
Br11 0.989 0.358 0.644
Br12 0.989 0.631 0.856
# D(E_F)   1.7 states/eV per cell
# Symmetry   P-31c (163)
# Formation energy from raw total energies   -1.3007 eV per atom
# DFT total energy   -3.895 eV/atom
# Magnetic moment   0.11 μB per atom



# Tb3Dy2Er6Pu | Alexandria via LeMat-Bulk | GGA-PBE | optimized geometry
data_Tb3Dy2Er6Pu
_space_group_name_H-M_alt 'P 1'
_space_group_IT_number 1
_space_group_name_Hall 'P 1'
_cell_length_a 6.091
_cell_length_b 6.091
_cell_length_c 11.607
_cell_angle_alpha 95.02
_cell_angle_beta 95.02
_cell_angle_gamma 120.03
loop_
_atom_site_label
_atom_site_fract_x
_atom_site_fract_y
_atom_site_fract_z
Tb1 0.000 0.000 0.000
Tb2 0.333 0.667 0.000
Tb3 0.667 0.333 0.000
Dy1 0.167 0.833 0.500
Dy2 0.833 0.167 0.500
Er1 0.088 0.418 0.252
Er2 0.253 0.253 0.748
Er3 0.418 0.088 0.252
Er4 0.582 0.912 0.748
Er5 0.747 0.747 0.252
Er6 0.912 0.582 0.748
Pu1 0.500 0.500 0.500
# D(E_F)   23.7 states/eV per cell
# DFT formation energy   0.041 eV/atom
# Symmetry   C2/m (12)
# DFT total energy   -5.359 eV/atom
# Magnetic moment   0.54 μB per atom